1.
The following is a PBE calculation of a geometry-optimized PmErTh2Se4 structure, from Alexandria. Values from VASP.

Structure (Quantum ESPRESSO input):
```
&SYSTEM
  ibrav = 0, nat = 8, ntyp = 4
/
ATOMIC_SPECIES
Pm 145.00 Pm.upf
Er 167.26 Er.upf
Th 232.04 Th.upf
Se 78.96 Se.upf
CELL_PARAMETERS angstrom
7.039 0.000 0.000
0.000 4.109 0.000
-2.390 0.000 7.046
ATOMIC_POSITIONS angstrom
Pm 0.000 0.000 0.000
Er 3.520 2.054 0.000
Th -1.195 2.054 3.523
Th 2.325 0.000 3.523
Se 1.212 2.054 1.689
Se 0.012 0.000 5.388
Se 4.637 0.000 1.658
Se 3.438 2.054 5.356
```

2.
The following is a PBE calculation of a geometry-optimized Pm2ErTh3Se6 structure, from Alexandria. Values from VASP.

Structure (Quantum ESPRESSO input):
```
&SYSTEM
  ibrav = 0, nat = 12, ntyp = 4
/
ATOMIC_SPECIES
Pm 145.00 Pm.upf
Er 167.26 Er.upf
Th 232.04 Th.upf
Se 78.96 Se.upf
CELL_PARAMETERS angstrom
9.270 -2.053 0.000
9.270 2.053 0.000
-2.549 0.000 8.105
ATOMIC_POSITIONS angstrom
Pm 2.241 0.000 2.700
Pm 13.749 0.000 5.405
Er 9.270 0.000 0.000
Th 1.004 0.000 6.760
Th 7.995 0.000 4.052
Th 14.986 0.000 1.345
Se 17.934 0.000 1.920
Se -1.944 0.000 6.184
Se 5.082 0.000 3.405
Se 3.949 0.000 7.431
Se 12.041 0.000 0.673
Se 10.908 0.000 4.700
```

3.
The following is a PBE calculation of a geometry-optimized Pm3ErTh4Se8 structure, from Alexandria. Values from VASP.

Structure (Quantum ESPRESSO input):
```
&SYSTEM
  ibrav = 0, nat = 16, ntyp = 4
/
ATOMIC_SPECIES
Pm 145.00 Pm.upf
Er 167.26 Er.upf
Th 232.04 Th.upf
Se 78.96 Se.upf
CELL_PARAMETERS angstrom
4.113 2.375 7.040
-4.113 2.375 7.040
0.000 -4.749 7.040
ATOMIC_POSITIONS angstrom
Pm -2.056 -1.187 7.040
Pm -2.056 1.187 14.080
Pm 0.000 2.375 7.040
Er 0.000 0.000 0.000
Th -4.113 0.000 10.560
Th -2.056 1.187 3.520
Th 2.056 1.187 3.520
Th 0.000 0.000 10.560
Se 0.000 -2.422 8.731
Se -2.098 1.211 8.731
Se -2.098 -1.211 12.390
Se 0.000 0.000 5.316
Se 0.000 0.000 15.804
Se 2.098 1.211 8.731
Se 2.098 -1.211 12.390
Se 0.000 2.422 12.390
```

4.
The following is a PBE calculation of a geometry-optimized PmEr3Th4Se8 structure, from Alexandria. Values from VASP.

Structure (Quantum ESPRESSO input):
```
&SYSTEM
  ibrav = 0, nat = 16, ntyp = 4
/
ATOMIC_SPECIES
Pm 145.00 Pm.upf
Er 167.26 Er.upf
Th 232.04 Th.upf
Se 78.96 Se.upf
CELL_PARAMETERS angstrom
4.040 2.332 7.103
-4.040 2.332 7.103
0.000 -4.665 7.103
ATOMIC_POSITIONS angstrom
Pm 0.000 0.000 0.000
Er -2.020 -1.166 7.103
Er -2.020 1.166 14.207
Er 0.000 2.332 7.103
Th -4.040 0.000 10.655
Th -2.020 1.166 3.552
Th 2.020 1.166 3.552
Th 0.000 0.000 10.655
Se 0.000 -2.284 8.771
Se -1.978 1.142 8.771
Se 0.000 0.000 5.466
Se -1.978 -1.142 12.539
Se 1.978 1.142 8.771
Se 0.000 0.000 15.844
Se 1.978 -1.142 12.539
Se 0.000 2.284 12.539
```

5.
The following is a PBE calculation of a geometry-optimized Pm4Er3ThSe8 structure, from Alexandria. Values from VASP.

Structure (Quantum ESPRESSO input):
```
&SYSTEM
  ibrav = 0, nat = 16, ntyp = 4
/
ATOMIC_SPECIES
Pm 145.00 Pm.upf
Er 167.26 Er.upf
Th 232.04 Th.upf
Se 78.96 Se.upf
CELL_PARAMETERS angstrom
4.132 2.386 6.796
-4.132 2.386 6.796
0.000 -4.772 6.796
ATOMIC_POSITIONS angstrom
Pm 0.000 0.000 0.000
Pm -2.066 -1.193 6.796
Pm -2.066 1.193 13.592
Pm 0.000 2.386 6.796
Er -4.132 0.000 10.194
Er -2.066 1.193 3.398
Er 2.066 1.193 3.398
Th 0.000 0.000 10.194
Se -2.115 -1.221 11.825
Se 0.000 0.000 4.991
Se 0.000 -2.442 8.563
Se -2.115 1.221 8.563
Se 2.115 -1.221 11.825
Se 0.000 2.442 11.825
Se 0.000 0.000 15.397
Se 2.115 1.221 8.563
```

6.
The following is a PBE calculation of a geometry-optimized Pm3ErTl4Se8 structure, from Alexandria. Values from VASP.

Structure (Quantum ESPRESSO input):
```
&SYSTEM
  ibrav = 0, nat = 16, ntyp = 4
/
ATOMIC_SPECIES
Pm 145.00 Pm.upf
Er 167.26 Er.upf
Tl 204.38 Tl.upf
Se 78.96 Se.upf
CELL_PARAMETERS angstrom
4.260 2.460 7.763
-4.260 2.460 7.763
0.000 -4.920 7.763
ATOMIC_POSITIONS angstrom
Pm -2.130 -1.230 7.763
Pm -2.130 1.230 15.526
Pm 0.000 2.460 7.763
Er 0.000 0.000 0.000
Tl -4.260 0.000 11.644
Tl -2.130 1.230 3.881
Tl 2.130 1.230 3.881
Tl 0.000 0.000 11.644
Se 0.000 -2.517 9.368
Se -2.180 1.258 9.368
Se -2.180 -1.258 13.921
Se 0.000 0.000 6.129
Se 0.000 0.000 17.160
Se 2.180 1.258 9.368
Se 2.180 -1.258 13.921
Se 0.000 2.517 13.921
```

7.
The following is a PBE calculation of a geometry-optimized Pm2ErTl3Se6 structure, from Alexandria. Values from VASP.

Structure (Quantum ESPRESSO input):
```
&SYSTEM
  ibrav = 0, nat = 12, ntyp = 4
/
ATOMIC_SPECIES
Pm 145.00 Pm.upf
Er 167.26 Er.upf
Tl 204.38 Tl.upf
Se 78.96 Se.upf
CELL_PARAMETERS angstrom
3.679 -6.371 0.000
3.679 6.371 0.000
-2.452 0.000 7.765
ATOMIC_POSITIONS angstrom
Pm 3.679 4.249 0.000
Pm 3.679 -4.249 0.000
Er 3.679 0.000 0.000
Tl -1.226 0.000 3.882
Tl 2.453 2.146 3.882
Tl 2.453 -2.146 3.882
Se 0.032 2.069 6.162
Se 1.290 0.000 1.618
Se 0.032 -2.069 6.162
Se 4.874 2.069 1.602
Se 3.616 0.000 6.146
Se 4.874 -2.069 1.602
```

8.
The following is a PBE calculation of a geometry-optimized PmEr2Tm3Se6 structure, from Alexandria. Values from VASP.

Structure (Quantum ESPRESSO input):
```
&SYSTEM
  ibrav = 0, nat = 12, ntyp = 4
/
ATOMIC_SPECIES
Pm 145.00 Pm.upf
Er 167.26 Er.upf
Tm 168.93 Tm.upf
Se 78.96 Se.upf
CELL_PARAMETERS angstrom
3.490 -6.077 0.000
3.490 6.077 0.000
-2.330 0.000 6.658
ATOMIC_POSITIONS angstrom
Pm 0.000 0.000 0.000
Er 3.490 2.006 0.000
Er 3.490 -2.006 0.000
Tm 2.325 4.145 3.329
Tm 2.325 0.000 3.329
Tm 2.325 -4.145 3.329
Se 1.196 2.092 1.722
Se 0.065 0.000 4.973
Se 1.196 -2.092 1.722
Se 3.454 2.092 4.936
Se 4.585 0.000 1.685
Se 3.454 -2.092 4.936
```

9.
The following is a PBE calculation of a geometry-optimized Pm2ErTm3Se6 structure, from Alexandria. Values from VASP.

Structure (Quantum ESPRESSO input):
```
&SYSTEM
  ibrav = 0, nat = 12, ntyp = 4
/
ATOMIC_SPECIES
Pm 145.00 Pm.upf
Er 167.26 Er.upf
Tm 168.93 Tm.upf
Se 78.96 Se.upf
CELL_PARAMETERS angstrom
8.930 -2.023 0.000
8.930 2.023 0.000
-2.051 0.000 7.982
ATOMIC_POSITIONS angstrom
Pm 2.326 0.000 2.689
Pm 13.484 0.000 5.293
Er 8.930 0.000 0.000
Tm 1.333 0.000 6.655
Tm 7.905 0.000 3.991
Tm 14.476 0.000 1.327
Se -1.462 0.000 5.995
Se 4.074 0.000 7.413
Se 5.207 0.000 3.250
Se 10.603 0.000 4.733
Se 11.736 0.000 0.570
Se 17.272 0.000 1.988
```

10.
The following is a PBE calculation of a geometry-optimized PmEr2TmSe4 structure, from Alexandria. Values from VASP.

Structure (Quantum ESPRESSO input):
```
&SYSTEM
  ibrav = 0, nat = 8, ntyp = 4
/
ATOMIC_SPECIES
Pm 145.00 Pm.upf
Er 167.26 Er.upf
Tm 168.93 Tm.upf
Se 78.96 Se.upf
CELL_PARAMETERS angstrom
7.028 0.000 0.000
0.000 4.011 0.000
-2.293 0.000 6.781
ATOMIC_POSITIONS angstrom
Pm 0.000 0.000 0.000
Er 2.367 0.000 3.390
Er 3.514 2.006 0.000
Tm -1.147 2.006 3.390
Se 0.074 0.000 5.041
Se 1.222 2.006 1.768
Se 3.512 2.006 5.012
Se 4.660 0.000 1.740
```

11.
The following is a PBE calculation of a geometry-optimized Pm2ErTmSe5 structure, from Alexandria. Values from VASP.

Structure (Quantum ESPRESSO input):
```
&SYSTEM
  ibrav = 0, nat = 9, ntyp = 4
/
ATOMIC_SPECIES
Pm 145.00 Pm.upf
Er 167.26 Er.upf
Tm 168.93 Tm.upf
Se 78.96 Se.upf
CELL_PARAMETERS angstrom
5.085 0.000 0.000
0.000 5.085 0.000
0.000 0.000 10.631
ATOMIC_POSITIONS angstrom
Pm 0.000 0.000 1.924
Pm 0.000 0.000 8.707
Er 2.543 2.543 5.315
Tm 2.543 2.543 0.000
Se 0.000 0.000 5.315
Se 0.000 2.543 0.000
Se 2.543 0.000 0.000
Se 2.543 2.543 2.702
Se 2.543 2.543 7.929
```

12.
The following is a PBE calculation of a geometry-optimized Pm4Er3TmSe8 structure, from Alexandria. Values from VASP.

Structure (Quantum ESPRESSO input):
```
&SYSTEM
  ibrav = 0, nat = 16, ntyp = 4
/
ATOMIC_SPECIES
Pm 145.00 Pm.upf
Er 167.26 Er.upf
Tm 168.93 Tm.upf
Se 78.96 Se.upf
CELL_PARAMETERS angstrom
4.065 2.347 6.890
-4.065 2.347 6.890
0.000 -4.694 6.890
ATOMIC_POSITIONS angstrom
Pm 0.000 0.000 0.000
Pm -2.033 -1.174 6.890
Pm -2.033 1.174 13.779
Pm 0.000 2.347 6.890
Er -4.065 0.000 10.334
Er -2.033 1.174 3.445
Er 2.033 1.174 3.445
Tm 0.000 0.000 10.334
Se 0.000 0.000 5.056
Se -2.026 -1.170 11.940
Se 0.000 -2.340 8.728
Se -2.026 1.170 8.728
Se 2.026 -1.170 11.940
Se 0.000 2.340 11.940
Se 2.026 1.170 8.728
Se 0.000 0.000 15.613
```

13.
The following is a PBE calculation of a geometry-optimized PmErTm2Se6 structure, from Alexandria. Values from VASP.

Structure (Quantum ESPRESSO input):
```
&SYSTEM
  ibrav = 0, nat = 10, ntyp = 4
/
ATOMIC_SPECIES
Pm 145.00 Pm.upf
Er 167.26 Er.upf
Tm 168.93 Tm.upf
Se 78.96 Se.upf
CELL_PARAMETERS angstrom
3.598 2.077 6.454
-3.598 2.077 6.454
0.000 -4.154 6.454
ATOMIC_POSITIONS angstrom
Pm 0.000 0.000 0.000
Er 0.000 0.000 9.594
Tm 0.000 0.000 5.801
Tm 0.000 0.000 15.537
Se -2.157 -0.122 7.684
Se -1.376 -2.112 10.893
Se 1.184 -1.807 7.684
Se -1.141 2.247 10.893
Se 0.973 1.929 7.684
Se 2.517 -0.136 10.893
```

14.
The following is a PBE calculation of a geometry-optimized Pm3ErTm3Se8 structure, from Alexandria. Values from VASP.

Structure (Quantum ESPRESSO input):
```
&SYSTEM
  ibrav = 0, nat = 15, ntyp = 4
/
ATOMIC_SPECIES
Pm 145.00 Pm.upf
Er 167.26 Er.upf
Tm 168.93 Tm.upf
Se 78.96 Se.upf
CELL_PARAMETERS angstrom
4.071 2.351 6.746
-4.071 2.351 6.746
0.000 -4.701 6.746
ATOMIC_POSITIONS angstrom
Pm -2.036 -1.175 6.746
Pm -2.036 1.175 13.491
Pm 0.000 2.351 6.746
Er 0.000 0.000 10.119
Tm -4.071 0.000 10.119
Tm -2.036 1.175 3.373
Tm 2.036 1.175 3.373
Se -2.080 -1.201 11.734
Se 0.000 0.000 4.953
Se 0.000 -2.401 8.503
Se -2.080 1.201 8.503
Se 2.080 -1.201 11.734
Se 0.000 2.401 11.734
Se 0.000 0.000 15.284
Se 2.080 1.201 8.503
```

15.
The following is a PBE calculation of a geometry-optimized PmErTm2Se4 structure, from Alexandria. Values from VASP.

Structure (Quantum ESPRESSO input):
```
&SYSTEM
  ibrav = 0, nat = 8, ntyp = 4
/
ATOMIC_SPECIES
Pm 145.00 Pm.upf
Er 167.26 Er.upf
Tm 168.93 Tm.upf
Se 78.96 Se.upf
CELL_PARAMETERS angstrom
7.017 0.000 0.000
0.000 4.000 0.000
-2.286 0.000 6.784
ATOMIC_POSITIONS angstrom
Pm 0.000 0.000 0.000
Er 3.509 2.000 0.000
Tm -1.143 2.000 3.392
Tm 2.366 0.000 3.392
Se 0.082 0.000 5.039
Se 1.228 2.000 1.777
Se 3.503 2.000 5.007
Se 4.649 0.000 1.745
```

16.
The following is a PBE calculation of a geometry-optimized Pm4ErTm3Se8 structure, from Alexandria. Values from VASP.

Structure (Quantum ESPRESSO input):
```
&SYSTEM
  ibrav = 0, nat = 16, ntyp = 4
/
ATOMIC_SPECIES
Pm 145.00 Pm.upf
Er 167.26 Er.upf
Tm 168.93 Tm.upf
Se 78.96 Se.upf
CELL_PARAMETERS angstrom
4.054 2.340 6.902
-4.054 2.340 6.902
0.000 -4.681 6.902
ATOMIC_POSITIONS angstrom
Pm 0.000 0.000 0.000
Pm -2.027 -1.170 6.902
Pm -2.027 1.170 13.804
Pm 0.000 2.340 6.902
Er 0.000 0.000 10.353
Tm -4.054 0.000 10.353
Tm -2.027 1.170 3.451
Tm 2.027 1.170 3.451
Se -2.033 -1.174 11.958
Se 0.000 0.000 5.051
Se 0.000 -2.347 8.748
Se -2.033 1.174 8.748
Se 2.033 -1.174 11.958
Se 0.000 2.347 11.958
Se 0.000 0.000 15.654
Se 2.033 1.174 8.748
```

17.
The following is a PBE calculation of a geometry-optimized PmY2ErSe6 structure, from Alexandria. Values from VASP.

Structure (Quantum ESPRESSO input):
```
&SYSTEM
  ibrav = 0, nat = 10, ntyp = 4
/
ATOMIC_SPECIES
Pm 145.00 Pm.upf
Y 88.91 Y.upf
Er 167.26 Er.upf
Se 78.96 Se.upf
CELL_PARAMETERS angstrom
3.625 2.093 6.501
-3.625 2.093 6.501
0.000 -4.186 6.501
ATOMIC_POSITIONS angstrom
Pm 0.000 0.000 0.000
Y 0.000 0.000 5.840
Y 0.000 0.000 15.643
Er 0.000 0.000 9.675
Se -2.170 -0.069 7.778
Se -1.389 -2.080 11.007
Se 1.145 -1.845 7.778
Se -1.107 2.243 11.007
Se 1.025 1.914 7.778
Se 2.496 -0.163 11.007
```

18.
The following is a PBE calculation of a geometry-optimized Pm3Y2ErSe6 structure, from Alexandria. Values from VASP.

Structure (Quantum ESPRESSO input):
```
&SYSTEM
  ibrav = 0, nat = 12, ntyp = 4
/
ATOMIC_SPECIES
Pm 145.00 Pm.upf
Y 88.91 Y.upf
Er 167.26 Er.upf
Se 78.96 Se.upf
CELL_PARAMETERS angstrom
9.039 -2.051 0.000
9.039 2.051 0.000
-2.068 0.000 8.080
ATOMIC_POSITIONS angstrom
Pm 0.000 0.000 0.000
Pm 4.624 0.000 5.386
Pm 11.385 0.000 2.694
Y 5.672 0.000 1.338
Y 10.338 0.000 6.742
Er -1.034 0.000 4.040
Se 1.723 0.000 4.753
Se 2.888 0.000 0.625
Se 8.468 0.000 2.097
Se 7.541 0.000 5.983
Se 13.121 0.000 7.455
Se 14.287 0.000 3.327
```

19.
The following is a PBE calculation of a geometry-optimized Pm2YErSe4 structure, from Alexandria. Values from VASP.

Structure (Quantum ESPRESSO input):
```
&SYSTEM
  ibrav = 0, nat = 8, ntyp = 4
/
ATOMIC_SPECIES
Pm 145.00 Pm.upf
Y 88.91 Y.upf
Er 167.26 Er.upf
Se 78.96 Se.upf
CELL_PARAMETERS angstrom
7.094 0.000 0.000
0.000 4.067 0.000
-2.339 0.000 6.904
ATOMIC_POSITIONS angstrom
Pm 0.000 0.000 0.000
Pm 3.547 2.033 0.000
Y -1.170 2.033 3.452
Er 2.377 0.000 3.452
Se 0.034 0.000 5.092
Se 1.206 2.033 1.821
Se 3.548 2.033 5.082
Se 4.720 0.000 1.811
```

20.
The following is a PBE calculation of a geometry-optimized Pm2YEr3Se6 structure, from Alexandria. Values from VASP.

Structure (Quantum ESPRESSO input):
```
&SYSTEM
  ibrav = 0, nat = 12, ntyp = 4
/
ATOMIC_SPECIES
Pm 145.00 Pm.upf
Y 88.91 Y.upf
Er 167.26 Er.upf
Se 78.96 Se.upf
CELL_PARAMETERS angstrom
8.965 -2.034 0.000
8.965 2.034 0.000
-2.051 0.000 8.013
ATOMIC_POSITIONS angstrom
Pm 2.327 0.000 2.692
Pm 13.552 0.000 5.321
Y 8.965 0.000 0.000
Er 1.323 0.000 6.676
Er 7.939 0.000 4.006
Er 14.556 0.000 1.336
Se -1.469 0.000 5.998
Se 4.077 0.000 7.427
Se 5.214 0.000 3.271
Se 10.665 0.000 4.742
Se 11.801 0.000 0.586
Se 17.348 0.000 2.014
```

Computed ρ (g/cm³) in order:
8.9, 8.8, 8.7, 9.1, 8.0, 7.0, 7.0, 8.6, 8.3, 8.4, 6.2, 7.9, 6.4, 7.5, 8.4, 8.0, 5.4, 6.9, 7.2, 7.7
Computed formation energy from raw total energies (eV/atom) in order:
-1.638, -1.647, -1.664, -1.634, -1.737, -1.381, -1.381, -1.702, -1.727, -1.715, -1.253, -1.765, -1.839, -1.827, -1.708, -1.757, -1.853, -1.792, -1.786, -1.756
Computed total magnetization (μB/f.u.) in order:
0.001, 0.000, 0.000, 0.000, 0.000, 0.000, 0.000, 0.000, 0.001, 0.000, 0.006, 0.000, 0.000, 0.001, 0.000, 0.000, 0.000, 0.000, 0.000, 0.000